DFT (GGA-PBE) results for crystalline Tl3V2PdSe6 at its relaxed geometry.

The space group is C2/m (No. 12) and the conventional cell measures 6.727, 11.278 and 7.846 Å, with angles of 90.00, 106.29 and 90.00 degrees. The inequivalent atoms are Tl at (0.000, 0.000, 0.000), Tl at (0.000, 0.324, 0.000), V at (0.000, 0.151, 0.500), Pd at (0.000, 0.500, 0.500), Se at (0.221, 0.330, 0.674) and Se at (0.228, 0.000, 0.698).

For the formation energy (no corrections), the calculation gives -0.447 eV per atom. The value obtained for the total energy is -56.80 eV/f.u. The crystal system is monoclinic.